# PBE with a Hubbard U MnSiO3, optimized geometry
data_MnSiO3
_space_group_name_H-M_alt 'P 1 21/c 1'
_space_group_IT_number 14
_cell_length_a 6.2561
_cell_length_b 4.8696
_cell_length_c 9.8760
_cell_angle_alpha 90.00
_cell_angle_beta 119.35
_cell_angle_gamma 90.00
loop_
_space_group_symop_operation_xyz
'x,y,z'
'-x,-y,-z'
'-x,y+1/2,-z+1/2'
'x,-y+1/2,z+1/2'
loop_
_atom_site_label
_atom_site_type_symbol
_atom_site_fract_x
_atom_site_fract_y
_atom_site_fract_z
Mn1 Mn 0.2135 0.1515 0.1434
Si1 Si 0.4082 0.7503 0.4916
O1 O 0.1480 0.7276 0.4938
O2 O 0.3519 0.0543 0.3762
O3 O 0.4656 0.5498 0.3729
# uncorrected energy: -155.66 eV/cell
# total magnetization: 1.0000 μB per atom